Material: Na3FeO3
Method: DFT, GGA+U
State: optimized geometry

Calculated values
**Relative energy among the computed polymorphs**: 2 meV/atom
**Total magnetization**: 5.00 μB per formula unit
**Crystal system**: monoclinic

Lattice parameters (Å, degrees): 13.3774 10.8580 6.2074 90.00 116.75 90.00
Last column: nearest neighbours and their distance in Å.
Space group Cc (No. 9)
One atom of each set of equivalent atoms:
Na1 0.0000 0.0211 0.0000  4 O 2.26-2.47
Na2 0.1014 0.2145 0.4669  4 O 2.32-2.50
Na3 0.2336 0.4545 0.5196  4 O 2.32-2.46
Na4 0.2448 0.0240 0.2400  3 O 2.29-2.43
Na5 0.3449 0.2653 0.9509  4 O 2.36-2.49
Na6 0.4826 0.0283 0.0929  4 O 2.34-2.54
Fe1 0.1166 0.2603 0.9399  4 O 1.89-1.95
Fe2 0.3705 0.2369 0.5114  4 O 1.87-1.96
O1 0.1255 0.0988 0.8363  1 Fe 1.89
O2 0.1638 0.3742 0.7726  1 Fe 1.90
O3 0.2134 0.2666 0.2832  2 Fe 1.93-1.96
O4 0.3727 0.1024 0.7017  1 Fe 1.87
O5 0.4197 0.3764 0.7109  1 Fe 1.88
O6 0.4604 0.1988 0.3478  2 Fe 1.94-1.95